# HoThHg

A relaxed HoThHg crystal (GGA-PBE, OQMD).

Cell: 5.1510 5.1510 5.1510 Å, 60.00 60.00 60.00°
With the nearest neighbours (Å) after each atom.
Atoms (fractional coordinates):
Hg 0.0000 0.0000 0.0000  4 Th 3.15, 4 Ho 3.15
Ho 0.2500 0.2500 0.2500  4 Hg 3.15
Th 0.7500 0.7500 0.7500  4 Hg 3.15

Values from the calculation:
- Space group: F-43m
- E above lowest polymorph: 0 meV per atom
- Formation enthalpy at 0 K: 0.10 eV/atom
- Electronic total energy: -3.999 eV/atom
- Volume: 32.21 Å³/atom


# Na4Si2IrAu

A relaxed Na4Si2IrAu crystal (GGA-PBE, OQMD).

Cell: 4.5746 4.5746 6.6149 Å, 90.00 90.00 90.00°
With the nearest neighbours (Å) after each atom.
Atoms (fractional coordinates):
Ir 0.5000 0.5000 0.5000  4 Si 2.65, 4 Na 2.85
Si 0.5000 0.0000 0.2980  2 Na 2.65, 2 Ir 2.65
Si 0.0000 0.5000 0.7020  2 Ir 2.65, 2 Na 2.65
Au 0.0000 0.0000 0.0000  4 Na 2.79, 4 Si 3.02
Na 0.5000 0.5000 0.0000  4 Na 2.79, 4 Si 3.02
Na 0.5000 0.0000 0.7578  2 Au 2.79, 4 Na 2.79-2.85, 2 Ir 2.85, 1 Si 3.04
Na 0.0000 0.5000 0.2422  4 Na 2.79-2.85, 2 Au 2.79, 2 Ir 2.85, 1 Si 3.04
Na 0.0000 0.0000 0.5000  4 Si 2.65, 4 Na 2.85

Values from the calculation:
- Space group: P-4m2
- Electronic total energy: -3.481 eV/atom
- Volume: 17.30 Å³/atom


# SrBPd4

A relaxed SrBPd4 crystal (GGA-PBE, OQMD).

Cell: 6.1380 5.5859 12.0136 Å, 90.00 90.00 90.00°
With the nearest neighbours (Å) after each atom.
Atoms (fractional coordinates):
B 0.0980 0.2500 0.0522  6 Pd 2.09-2.21
B 0.5980 0.2500 0.4478  6 Pd 2.09-2.21
B 0.4020 0.7500 0.5522  6 Pd 2.09-2.21
B 0.9020 0.7500 0.9478  6 Pd 2.09-2.21
Pd 0.4376 0.2500 0.0589  1 B 2.09
Pd 0.6138 0.2500 0.2668  1 B 2.18
Pd 0.1644 0.5027 0.9148  2 B 2.16-2.21
Pd 0.3862 0.7500 0.7332  1 B 2.18
Pd 0.1138 0.2500 0.2332  1 B 2.18
Pd 0.3356 0.4973 0.4148  2 B 2.16-2.21
Pd 0.6644 0.9973 0.5852  2 B 2.16-2.21
Pd 0.3356 0.0027 0.4148  2 B 2.16-2.21
Pd 0.1644 0.9973 0.9148  2 B 2.16-2.21
Pd 0.0624 0.7500 0.5589  1 B 2.09
Pd 0.8356 0.0027 0.0852  2 B 2.16-2.21
Pd 0.5624 0.7500 0.9411  1 B 2.09
Pd 0.9376 0.2500 0.4411  1 B 2.09
Pd 0.6644 0.5027 0.5852  2 B 2.16-2.21
Pd 0.8862 0.7500 0.7668  1 B 2.18
Pd 0.8356 0.4973 0.0852  2 B 2.16-2.21
Sr 0.3117 0.7500 0.1605  11 Pd 3.05-3.38, 2 B 3.35
Sr 0.1883 0.2500 0.6605  11 Pd 3.05-3.38, 2 B 3.35
Sr 0.8117 0.7500 0.3395  11 Pd 3.05-3.38, 2 B 3.35
Sr 0.6883 0.2500 0.8395  11 Pd 3.05-3.38, 2 B 3.35

Values from the calculation:
- Space group: Pnma
- Electronic total energy: -5.383 eV/atom
- Volume: 17.16 Å³/atom


# NbCuHgPb

A relaxed NbCuHgPb crystal (GGA-PBE, OQMD).

Cell: 4.8428 4.8428 4.8428 Å, 60.00 60.00 60.00°
With the nearest neighbours (Å) after each atom.
Atoms (fractional coordinates):
Cu 0.7500 0.7500 0.7500  4 Hg 2.97, 4 Pb 2.97
Hg 0.5000 0.5000 0.5000  4 Cu 2.97, 4 Nb 2.97
Pb 0.0000 0.0000 0.0000  4 Cu 2.97, 4 Nb 2.97
Nb 0.2500 0.2500 0.2500  4 Hg 2.97, 4 Pb 2.97

Values from the calculation:
- Space group: F-43m
- E above lowest polymorph: 0 meV per atom
- Electronic total energy: -3.904 eV/atom
- Volume: 20.08 Å³/atom


# ThNpAl

A relaxed ThNpAl crystal (GGA-PBE, OQMD).

Cell: 4.9597 4.9597 4.9597 Å, 60.00 60.00 60.00°
With the nearest neighbours (Å) after each atom.
Atoms (fractional coordinates):
Th 0.7500 0.7500 0.7500  4 Al 3.04
Np 0.2500 0.2500 0.2500  4 Al 3.04
Al 0.0000 0.0000 0.0000  4 Th 3.04, 4 Np 3.04

Values from the calculation:
- Space group: F-43m
- Electronic total energy: -7.484 eV/atom
- Volume: 28.76 Å³/atom


# ScUSn

A relaxed ScUSn crystal (GGA-PBE, OQMD).

Cell: 5.0492 5.0492 5.0492 Å, 60.00 60.00 60.00°
With the nearest neighbours (Å) after each atom.
Atoms (fractional coordinates):
Sn 0.7500 0.7500 0.7500  4 U 3.09
U 0.0000 0.0000 0.0000  4 Sn 3.09, 4 Sc 3.09
Sc 0.2500 0.2500 0.2500  4 U 3.09

Values from the calculation:
- Space group: F-43m
- E above lowest polymorph: 254 meV per atom
- Electronic total energy: -6.465 eV/atom
- Volume: 30.34 Å³/atom


# NaTbTl2

A relaxed NaTbTl2 crystal (GGA-PBE, OQMD).

Cell: 5.2971 5.2971 3.8587 Å, 90.00 90.00 90.00°
With the nearest neighbours (Å) after each atom.
Atoms (fractional coordinates):
Tb 0.5000 0.5000 0.5000  8 Tl 3.28
Na 0.0000 0.0000 0.5000  8 Tl 3.28
Tl 0.5000 0.0000 0.0000  4 Tb 3.28, 4 Na 3.28
Tl 0.0000 0.5000 0.0000  4 Tb 3.28, 4 Na 3.28

Values from the calculation:
- Space group: P4/mmm
- Electronic total energy: -2.929 eV/atom
- Volume: 27.07 Å³/atom


# AgHgB4

A relaxed AgHgB4 crystal (GGA-PBE, OQMD).

Cell: 2.9895 2.9895 9.6898 Å, 90.00 90.00 120.00°
With the nearest neighbours (Å) after each atom.
Atoms (fractional coordinates):
B 0.3333 0.6667 0.2920  3 B 1.73
B 0.3333 0.6667 0.7080  3 B 1.73
B 0.6667 0.3333 0.2920  3 B 1.73
B 0.6667 0.3333 0.7080  3 B 1.73
Ag 0.0000 0.0000 0.5000  12 B 2.65
Hg 0.0000 0.0000 0.0000  6 Hg 2.99, 12 B 3.31

Values from the calculation:
- Space group: P6/mmm
- E above lowest polymorph: 0 meV per atom
- Electronic total energy: -4.352 eV/atom
- Volume: 12.50 Å³/atom


# NaLaTeOs

A relaxed NaLaTeOs crystal (GGA-PBE, OQMD).

Cell: 5.0223 5.0223 5.0223 Å, 60.00 60.00 60.00°
With the nearest neighbours (Å) after each atom.
Atoms (fractional coordinates):
La 0.5000 0.5000 0.5000  4 Te 3.08, 4 Na 3.08
Os 0.0000 0.0000 0.0000  4 Na 3.08, 4 Te 3.08
Na 0.7500 0.7500 0.7500  4 La 3.08, 4 Os 3.08
Te 0.2500 0.2500 0.2500  4 La 3.08, 4 Os 3.08

Values from the calculation:
- Space group: F-43m
- E above lowest polymorph: 317 meV per atom
- Electronic total energy: -4.866 eV/atom
- Volume: 22.39 Å³/atom


# SrMg2SnAu

A relaxed SrMg2SnAu crystal (GGA-PBE, OQMD).

Cell: 6.9552 6.9552 6.9552 Å, 141.44 141.44 55.67°
With the nearest neighbours (Å) after each atom.
Atoms (fractional coordinates):
Sn 0.6077 0.6077 0.0000  1 Au 2.78, 4 Mg 2.92
Sr 0.0008 0.0008 0.0000  4 Sn 3.50, 4 Au 3.56, 8 Mg 3.80-3.88
Mg 0.7549 0.2549 0.5000  2 Au 2.78, 2 Sn 2.92
Mg 0.2549 0.7549 0.5000  2 Au 2.78, 2 Sn 2.92
Au 0.3818 0.3818 0.0000  4 Mg 2.78, 1 Sn 2.78

Values from the calculation:
- Space group: I4mm
- Electronic total energy: -2.961 eV/atom
- Volume: 25.95 Å³/atom


# NaTaOsPb

A relaxed NaTaOsPb crystal (GGA-PBE, OQMD).

Cell: 4.7221 4.7221 4.7221 Å, 60.00 60.00 60.00°
With the nearest neighbours (Å) after each atom.
Atoms (fractional coordinates):
Na 0.7500 0.7500 0.7500  4 Os 2.89, 4 Pb 2.89
Os 0.0000 0.0000 0.0000  4 Ta 2.89, 4 Na 2.89
Ta 0.2500 0.2500 0.2500  4 Pb 2.89, 4 Os 2.89
Pb 0.5000 0.5000 0.5000  4 Ta 2.89, 4 Na 2.89

Values from the calculation:
- Space group: F-43m
- E above lowest polymorph: 217 meV per atom
- Electronic total energy: -6.396 eV/atom
- Volume: 18.61 Å³/atom


# Tm2ZnCo2

A relaxed Tm2ZnCo2 crystal (GGA-PBE, OQMD).

Cell: 3.7666 12.6262 3.8080 Å, 90.00 90.00 90.00°
With the nearest neighbours (Å) after each atom.
Atoms (fractional coordinates):
Co 0.5036 0.6997 0.0000  2 Co 2.27, 1 Zn 2.52
Co 0.4964 0.3003 0.0000  2 Co 2.27, 1 Zn 2.52
Co 0.0036 0.8003 0.0000  2 Co 2.27, 1 Zn 2.52
Co 0.9964 0.1997 0.0000  2 Co 2.27, 1 Zn 2.52
Tm 0.9989 0.3652 0.5000  6 Co 2.79-2.83
Tm 0.5011 0.8652 0.5000  6 Co 2.79-2.83
Tm 0.4989 0.1348 0.5000  6 Co 2.79-2.83
Tm 0.0011 0.6348 0.5000  6 Co 2.79-2.83
Zn 0.5000 0.5000 0.0000  2 Co 2.52
Zn 0.0000 0.0000 0.0000  2 Co 2.52

Values from the calculation:
- Space group: Pbam
- Formation enthalpy at 0 K: -0.29 eV/atom
- Electronic total energy: -5.172 eV/atom
- Volume: 18.11 Å³/atom